Below is TaAsRu2 after structural relaxation, with properties calculated at the GGA-PBE level.

Properties
formation energy = -0.192 eV/atom
E_tot = -35.82 eV per cell

Cell and atoms, written as CIF:
```
data_TaAsRu2
_chemical_formula_sum 'Ta1 As1 Ru2'
_symmetry_space_group_name_H-M 'P 1'
_symmetry_Int_Tables_number 1
_cell_length_a 2.974
_cell_length_b 2.974
_cell_length_c 6.846
_cell_angle_alpha 90.00
_cell_angle_beta 90.00
_cell_angle_gamma 90.00
loop_
_symmetry_equiv_pos_as_xyz
'x,y,z'
loop_
_atom_site_label
_atom_site_fract_x
_atom_site_fract_y
_atom_site_fract_z
_atom_site_occupancy
Ru1 0.000 0.000 0.972 1
Ru2 0.000 0.000 0.528 1
As1 0.500 0.500 0.750 1
Ta1 0.500 0.500 0.250 1
```

=====

Below is Ta4AsRu after structural relaxation, with properties calculated at the GGA-PBE level.

Properties
formation energy = 0.529 eV/atom
E_tot = -58.16 eV per cell

Cell and atoms, written as CIF:
```
data_Ta4AsRu
_chemical_formula_sum 'Ta4 As1 Ru1'
_symmetry_space_group_name_H-M 'P 1'
_symmetry_Int_Tables_number 1
_cell_length_a 5.385
_cell_length_b 5.385
_cell_length_c 5.385
_cell_angle_alpha 60.00
_cell_angle_beta 60.00
_cell_angle_gamma 60.00
loop_
_symmetry_equiv_pos_as_xyz
'x,y,z'
loop_
_atom_site_label
_atom_site_fract_x
_atom_site_fract_y
_atom_site_fract_z
_atom_site_occupancy
Ta1 0.625 0.625 0.125 1
Ta2 0.625 0.125 0.625 1
Ta3 0.625 0.625 0.625 1
Ta4 0.125 0.625 0.625 1
As1 0.250 0.250 0.250 1
Ru1 0.000 0.000 0.000 1
```

=====

Below is TaAsRu2 after structural relaxation, with properties calculated at the GGA-PBE level.

Properties
formation energy = -0.103 eV/atom
E_tot = -35.47 eV per cell

Cell and atoms, written as CIF:
```
data_TaAsRu2
_chemical_formula_sum 'Ta1 As1 Ru2'
_symmetry_space_group_name_H-M 'P 1'
_symmetry_Int_Tables_number 1
_cell_length_a 3.017
_cell_length_b 3.929
_cell_length_c 5.265
_cell_angle_alpha 90.00
_cell_angle_beta 90.00
_cell_angle_gamma 90.00
loop_
_symmetry_equiv_pos_as_xyz
'x,y,z'
loop_
_atom_site_label
_atom_site_fract_x
_atom_site_fract_y
_atom_site_fract_z
_atom_site_occupancy
Ru1 0.000 0.000 0.954 1
Ru2 0.500 0.500 0.283 1
As1 0.500 0.500 0.790 1
Ta1 0.000 0.000 0.474 1
```